No. 1
# PBE Pr5Nd3Dy, relaxed
data_Pr5Nd3Dy
_chemical_formula_sum 'Pr10 Nd6 Dy2'
_space_group_name_H-M_alt 'P 1'
_space_group_IT_number 1
_space_group_name_Hall 'P 1'
_cell_length_a 9.5376
_cell_length_b 9.5376
_cell_length_c 12.4185
_cell_angle_alpha 125.85
_cell_angle_beta 125.85
_cell_angle_gamma 53.55
loop_
_atom_site_label
_atom_site_type_symbol
_atom_site_fract_x
_atom_site_fract_y
_atom_site_fract_z
_atom_site_occupancy
Pr1 Pr 0.0189 0.4057 0.7738 1
Pr2 Pr 0.0594 0.0594 0.4155 1
Pr3 Pr 0.1841 0.8159 0.0000 1
Pr4 Pr 0.3460 0.3460 0.6467 1
Pr5 Pr 0.4057 0.0189 0.7738 1
Pr6 Pr 0.5943 0.9811 0.2262 1
Pr7 Pr 0.6540 0.6540 0.3533 1
Pr8 Pr 0.8159 0.1841 0.0000 1
Pr9 Pr 0.9406 0.9406 0.5845 1
Pr10 Pr 0.9811 0.5943 0.2262 1
Nd1 Nd 0.1395 0.1395 0.9490 1
Nd2 Nd 0.2072 0.2072 0.3007 1
Nd3 Nd 0.5000 0.5000 0.0000 1
Nd4 Nd 0.5000 0.5000 0.5000 1
Nd5 Nd 0.7928 0.7928 0.6993 1
Nd6 Nd 0.8605 0.8605 0.0510 1
Dy1 Dy 0.3862 0.3862 0.1273 1
Dy2 Dy 0.6138 0.6138 0.8727 1
# - Energy relative to the elements: 3.29 eV per formula unit

=====

No. 2
# PBE Sr2SnBiH, relaxed
data_Sr2SnBiH
_chemical_formula_sum 'Sr2 Sn1 Bi1 H1'
_space_group_name_H-M_alt 'P 1'
_space_group_IT_number 1
_space_group_name_Hall 'P 1'
_cell_length_a 5.5343
_cell_length_b 5.5343
_cell_length_c 4.5571
_cell_angle_alpha 90.00
_cell_angle_beta 90.00
_cell_angle_gamma 90.00
loop_
_atom_site_label
_atom_site_type_symbol
_atom_site_fract_x
_atom_site_fract_y
_atom_site_fract_z
_atom_site_occupancy
Sr1 Sr 0.0000 0.5000 0.0000 1
Sr2 Sr 0.5000 0.0000 0.0000 1
Sn1 Sn 0.0000 0.0000 0.5000 1
Bi1 Bi 0.5000 0.5000 0.5000 1
H1 H 0.0000 0.0000 0.0000 1
# - Relative energy among the computed polymorphs: 0.000 eV/atom

=====

No. 3
# PBE Ba2LiAlC4N8, relaxed
data_Ba2LiAlC4N8
_chemical_formula_sum 'Ba8 Li4 Al4 C16 N32'
_space_group_name_H-M_alt 'P 1'
_space_group_IT_number 1
_space_group_name_Hall 'P 1'
_cell_length_a 7.0325
_cell_length_b 11.8704
_cell_length_c 12.0317
_cell_angle_alpha 90.00
_cell_angle_beta 90.00
_cell_angle_gamma 90.00
loop_
_atom_site_label
_atom_site_type_symbol
_atom_site_fract_x
_atom_site_fract_y
_atom_site_fract_z
_atom_site_occupancy
Ba1 Ba 0.2074 0.1234 0.0867 1
Ba2 Ba 0.2149 0.6210 0.9077 1
Ba3 Ba 0.2851 0.3790 0.4077 1
Ba4 Ba 0.2926 0.8766 0.5867 1
Ba5 Ba 0.7074 0.3766 0.9133 1
Ba6 Ba 0.7149 0.8790 0.0923 1
Ba7 Ba 0.7851 0.1210 0.5923 1
Ba8 Ba 0.7926 0.6234 0.4133 1
Li1 Li 0.0359 0.8740 0.3296 1
Li2 Li 0.4641 0.1260 0.8296 1
Li3 Li 0.5359 0.6260 0.6704 1
Li4 Li 0.9641 0.3740 0.1704 1
Al1 Al 0.0296 0.3765 0.6685 1
Al2 Al 0.4704 0.6235 0.1685 1
Al3 Al 0.5296 0.1235 0.3315 1
Al4 Al 0.9704 0.8765 0.8315 1
C1 C 0.1659 0.0762 0.3886 1
C2 C 0.1659 0.5800 0.6249 1
C3 C 0.2219 0.3282 0.8590 1
C4 C 0.2340 0.8207 0.1361 1
C5 C 0.2660 0.1793 0.6361 1
C6 C 0.2781 0.6718 0.3590 1
C7 C 0.3341 0.4200 0.1249 1
C8 C 0.3341 0.9238 0.8886 1
C9 C 0.6659 0.4238 0.6114 1
C10 C 0.6659 0.9200 0.3751 1
C11 C 0.7219 0.1718 0.1410 1
C12 C 0.7340 0.6793 0.8639 1
C13 C 0.7660 0.3207 0.3639 1
C14 C 0.7781 0.8282 0.6410 1
C15 C 0.8341 0.0800 0.8751 1
C16 C 0.8341 0.5762 0.1114 1
N1 N 0.0653 0.0117 0.4407 1
N2 N 0.0798 0.5005 0.5776 1
N3 N 0.1071 0.3971 0.8157 1
N4 N 0.1184 0.8927 0.1613 1
N5 N 0.1445 0.2508 0.6061 1
N6 N 0.1659 0.7358 0.4027 1
N7 N 0.2322 0.8572 0.8334 1
N8 N 0.2478 0.6566 0.6715 1
N9 N 0.2522 0.3434 0.1715 1
N10 N 0.2678 0.1428 0.3334 1
N11 N 0.3341 0.2642 0.9027 1
N12 N 0.3555 0.7492 0.1061 1
N13 N 0.3816 0.1073 0.6613 1
N14 N 0.3929 0.6029 0.3157 1
N15 N 0.4202 0.4995 0.0776 1
N16 N 0.4347 0.9883 0.9407 1
N17 N 0.5653 0.4883 0.5593 1
N18 N 0.5798 0.9995 0.4224 1
N19 N 0.6071 0.1029 0.1843 1
N20 N 0.6184 0.6073 0.8387 1
N21 N 0.6445 0.2492 0.3939 1
N22 N 0.6659 0.7642 0.5973 1
N23 N 0.7322 0.6428 0.1666 1
N24 N 0.7478 0.8434 0.3285 1
N25 N 0.7522 0.1566 0.8285 1
N26 N 0.7678 0.3572 0.6666 1
N27 N 0.8341 0.2358 0.0973 1
N28 N 0.8555 0.7508 0.8939 1
N29 N 0.8816 0.3927 0.3387 1
N30 N 0.8929 0.8971 0.6843 1
N31 N 0.9202 0.0005 0.9224 1
N32 N 0.9347 0.5117 0.0593 1
# - ΔE_f (raw): -0.6978 eV per atom

=====

No. 4
# PBE CeNd4Pb4, relaxed
data_CeNd4Pb4
_chemical_formula_sum 'Ce2 Nd8 Pb8'
_space_group_name_H-M_alt 'P 1'
_space_group_IT_number 1
_space_group_name_Hall 'P 1'
_cell_length_a 10.1176
_cell_length_b 10.1176
_cell_length_c 6.4364
_cell_angle_alpha 90.00
_cell_angle_beta 90.00
_cell_angle_gamma 90.00
loop_
_atom_site_label
_atom_site_type_symbol
_atom_site_fract_x
_atom_site_fract_y
_atom_site_fract_z
_atom_site_occupancy
Ce1 Ce 0.2500 0.2500 0.2500 1
Ce2 Ce 0.7500 0.7500 0.7500 1
Nd1 Nd 0.0469 0.6518 0.2485 1
Nd2 Nd 0.1518 0.9531 0.7485 1
Nd3 Nd 0.3482 0.5469 0.7485 1
Nd4 Nd 0.4531 0.8482 0.2485 1
Nd5 Nd 0.5469 0.1518 0.7515 1
Nd6 Nd 0.6518 0.4531 0.2515 1
Nd7 Nd 0.8482 0.0469 0.2515 1
Nd8 Nd 0.9531 0.3482 0.7515 1
Pb1 Pb 0.0462 0.6521 0.7483 1
Pb2 Pb 0.1521 0.9538 0.2483 1
Pb3 Pb 0.3479 0.5462 0.2483 1
Pb4 Pb 0.4538 0.8479 0.7483 1
Pb5 Pb 0.5462 0.1521 0.2517 1
Pb6 Pb 0.6521 0.4538 0.7517 1
Pb7 Pb 0.8479 0.0462 0.7517 1
Pb8 Pb 0.9538 0.3479 0.2517 1
# - Energy relative to the elements: -2.55 eV per formula unit

=====

No. 5
# PBE NaCoRu, relaxed
data_NaCoRu
_chemical_formula_sum 'Na2 Co2 Ru2'
_space_group_name_H-M_alt 'P 1'
_space_group_IT_number 1
_space_group_name_Hall 'P 1'
_cell_length_a 4.2742
_cell_length_b 5.8966
_cell_length_c 5.8966
_cell_angle_alpha 46.10
_cell_angle_beta 90.00
_cell_angle_gamma 90.00
loop_
_atom_site_label
_atom_site_type_symbol
_atom_site_fract_x
_atom_site_fract_y
_atom_site_fract_z
_atom_site_occupancy
Na1 Na 0.2500 0.2236 0.7764 1
Na2 Na 0.7500 0.7764 0.2236 1
Co1 Co 0.2500 0.4209 0.1577 1
Co2 Co 0.7500 0.1577 0.4209 1
Ru1 Ru 0.2500 0.8561 0.5774 1
Ru2 Ru 0.7500 0.5774 0.8561 1
# - Energy relative to the elements: 1.62 eV per formula unit
# - Relative energy among the computed polymorphs: 0.145 eV/atom

=====

No. 6
# PBE SiTcPt2, relaxed
data_SiTcPt2
_chemical_formula_sum 'Si1 Tc1 Pt2'
_space_group_name_H-M_alt 'P 1'
_space_group_IT_number 1
_space_group_name_Hall 'P 1'
_cell_length_a 4.8465
_cell_length_b 4.8465
_cell_length_c 4.8465
_cell_angle_alpha 133.73
_cell_angle_beta 133.73
_cell_angle_gamma 67.50
loop_
_atom_site_label
_atom_site_type_symbol
_atom_site_fract_x
_atom_site_fract_y
_atom_site_fract_z
_atom_site_occupancy
Si1 Si 0.0000 0.0000 0.0000 1
Tc1 Tc 0.5000 0.5000 0.0000 1
Pt1 Pt 0.2500 0.7500 0.5000 1
Pt2 Pt 0.7500 0.2500 0.5000 1
# - ΔE_f (raw): -0.1470 eV per atom

=====

No. 7
# PBE La2DyGa12Ni3, relaxed
data_La2DyGa12Ni3
_chemical_formula_sum 'La2 Dy1 Ga12 Ni3'
_space_group_name_H-M_alt 'P 1'
_space_group_IT_number 1
_space_group_name_Hall 'P 1'
_cell_length_a 7.9592
_cell_length_b 7.9592
_cell_length_c 7.9592
_cell_angle_alpha 64.96
_cell_angle_beta 64.96
_cell_angle_gamma 64.96
loop_
_atom_site_label
_atom_site_type_symbol
_atom_site_fract_x
_atom_site_fract_y
_atom_site_fract_z
_atom_site_occupancy
La1 La 0.0818 0.0818 0.0818 1
La2 La 0.9182 0.9182 0.9182 1
Dy1 Dy 0.5000 0.5000 0.5000 1
Ga1 Ga 0.0331 0.6653 0.6653 1
Ga2 Ga 0.2201 0.2201 0.6117 1
Ga3 Ga 0.2201 0.6117 0.2201 1
Ga4 Ga 0.3347 0.3347 0.9669 1
Ga5 Ga 0.3347 0.9669 0.3347 1
Ga6 Ga 0.3883 0.7799 0.7799 1
Ga7 Ga 0.6117 0.2201 0.2201 1
Ga8 Ga 0.6653 0.0331 0.6653 1
Ga9 Ga 0.6653 0.6653 0.0331 1
Ga10 Ga 0.7799 0.3883 0.7799 1
Ga11 Ga 0.7799 0.7799 0.3883 1
Ga12 Ga 0.9669 0.3347 0.3347 1
Ni1 Ni 0.0000 0.5000 0.5000 1
Ni2 Ni 0.5000 0.0000 0.5000 1
Ni3 Ni 0.5000 0.5000 0.0000 1
# - Energy relative to the elements: -2.75 eV per formula unit

=====

No. 8
# PBE AlCrGa, relaxed
data_AlCrGa
_chemical_formula_sum 'Al2 Cr2 Ga2'
_space_group_name_H-M_alt 'P 1'
_space_group_IT_number 1
_space_group_name_Hall 'P 1'
_cell_length_a 4.3690
_cell_length_b 4.3690
_cell_length_c 5.1986
_cell_angle_alpha 90.00
_cell_angle_beta 90.00
_cell_angle_gamma 90.00
loop_
_atom_site_label
_atom_site_type_symbol
_atom_site_fract_x
_atom_site_fract_y
_atom_site_fract_z
_atom_site_occupancy
Al1 Al 0.0000 0.5000 0.0000 1
Al2 Al 0.5000 0.0000 0.5000 1
Cr1 Cr 0.0000 0.0000 0.2500 1
Cr2 Cr 0.0000 0.0000 0.7500 1
Ga1 Ga 0.0000 0.5000 0.5000 1
Ga2 Ga 0.5000 0.0000 0.0000 1
# - Energy relative to the elements: -0.20 eV per formula unit
# - Relative energy among the computed polymorphs: 0.000 eV/atom

=====

Quick rundown of N(E_F), same order as above: 25.13 1.59 0.00 27.16 6.74 2.51 9.77 2.67 states/eV per cell